Material: Mg2Au
Method: DFT, PBE
State: optimized geometry

Calculated values
SG	Fddd (70)
E_tot	-2.5591	eV per atom

Lattice parameters (Å, degrees): 10.473 9.700 5.504 82.09 66.54 31.37
Fractional positions:
Mg 0.041 0.041 0.209
Mg 0.209 0.209 0.041
Mg 0.210 0.540 0.210
Mg 0.460 0.790 0.460
Mg 0.540 0.210 0.540
Mg 0.790 0.460 0.790
Mg 0.791 0.791 0.959
Mg 0.959 0.959 0.791
Au 0.248 0.248 0.502
Au 0.498 0.498 0.752
Au 0.502 0.502 0.248
Au 0.752 0.752 0.498



Material: SmDy3Cl
Method: DFT, PBE
State: optimized geometry

Calculated values
SG	P6_3/mmc (194)
spin magnetization	3.81	μB/cell
E_tot	-3.8412	eV per atom

Lattice parameters (Å, degrees): 7.870 7.870 6.742 90.00 90.00 120.00
Fractional positions:
Sm 0.000 0.000 0.250
Sm 0.000 0.000 0.750
Dy 0.040 0.520 0.250
Dy 0.480 0.520 0.250
Dy 0.480 0.960 0.250
Dy 0.520 0.040 0.750
Dy 0.520 0.480 0.750
Dy 0.960 0.480 0.750
Cl 0.333 0.667 0.750
Cl 0.667 0.333 0.250



Material: Ho2TmZn3CuAu2
Method: DFT, PBE
State: optimized geometry

Calculated values
SG	Amm2 (38)
spin magnetization	0.01	μB/cell
E_form	-513	kJ/mol of formula units
E_tot	-3.6661	eV per atom

Lattice parameters (Å, degrees): 3.908 7.260 7.260 119.98 90.00 90.00
Fractional positions:
Ho 0.000 0.201 0.799
Ho 0.000 0.799 0.201
Tm 0.000 0.396 0.396
Zn 0.500 0.033 0.033
Zn 0.500 0.564 0.799
Zn 0.500 0.799 0.564
Cu 0.000 0.799 0.799
Au 0.500 0.132 0.465
Au 0.500 0.465 0.132



Material: TaCoPt
Method: DFT, PBE
State: optimized geometry

Calculated values
SG	F-43m (216)
spin magnetization	0.03	μB/cell
E_form	-8	kJ/mol of formula units
E_tot	-8.3667	eV per atom

Lattice parameters (Å, degrees): 4.115 4.115 4.115 60.00 60.00 60.00
Fractional positions:
Ta 0.000 0.000 0.000
Co 0.750 0.750 0.750
Pt 0.500 0.500 0.500



Material: Li4TlGaNi2
Method: DFT, PBE
State: optimized geometry

Calculated values
SG	P-4m2 (115)
spin magnetization	0.00	μB/cell
E_tot	-3.2243	eV per atom

Lattice parameters (Å, degrees): 4.257 4.257 6.127 90.00 90.00 90.00
Fractional positions:
Li 0.000 0.000 0.000
Li 0.000 0.500 0.234
Li 0.500 0.000 0.766
Li 0.500 0.500 0.500
Tl 0.000 0.000 0.500
Ga 0.500 0.500 0.000
Ni 0.000 0.500 0.779
Ni 0.500 0.000 0.221



Material: NaPdNO
Method: DFT, PBE
State: optimized geometry

Calculated values
SG	Pmc2_1 (26)
E_tot	-4.7960	eV per atom

Lattice parameters (Å, degrees): 3.685 5.765 5.655 90.00 90.00 90.00
Fractional positions:
Na 0.000 0.174 0.000
Na 0.000 0.826 0.500
Pd 0.500 0.346 0.472
Pd 0.500 0.654 0.972
N 0.500 0.362 0.809
N 0.500 0.638 0.309
O 0.000 0.213 0.407
O 0.000 0.787 0.907



Material: GdMgIn2
Method: DFT, PBE
State: optimized geometry

Calculated values
SG	P4/mmm (123)
spin magnetization	0.00	μB/cell
E_tot	-3.3424	eV per atom

Lattice parameters (Å, degrees): 4.647 4.647 4.525 90.00 90.00 90.00
Fractional positions:
Gd 0.000 0.000 0.000
Mg 0.500 0.500 0.000
In 0.000 0.500 0.500
In 0.500 0.000 0.500



Material: NdY2In3Fe3
Method: DFT, PBE
State: optimized geometry

Calculated values
SG	Amm2 (38)
spin magnetization	5.68	μB/cell
E_tot	-5.7234	eV per atom

Lattice parameters (Å, degrees): 3.967 7.476 7.476 119.35 90.00 90.00
Fractional positions:
Nd 0.000 0.000 0.000
Y 0.000 0.173 0.582
Y 0.000 0.582 0.173
In 0.500 0.334 0.334
In 0.500 0.580 0.838
In 0.500 0.838 0.580
Fe 0.000 0.583 0.583
Fe 0.500 0.250 0.914
Fe 0.500 0.914 0.250



Material: ZrAs
Method: DFT, PBE
State: optimized geometry

Calculated values
SG	Pmmn (59)
spin magnetization	1.17	μB/cell
E_tot	-7.1514	eV per atom

Lattice parameters (Å, degrees): 4.831 13.417 4.986 90.00 90.00 90.00
Fractional positions:
Zr 0.250 0.076 0.136
Zr 0.250 0.250 0.735
Zr 0.250 0.424 0.136
Zr 0.250 0.750 0.681
Zr 0.750 0.250 0.319
Zr 0.750 0.576 0.864
Zr 0.750 0.750 0.265
Zr 0.750 0.924 0.864
As 0.250 0.529 0.650
As 0.250 0.637 0.178
As 0.250 0.863 0.178
As 0.250 0.971 0.650
As 0.750 0.029 0.350
As 0.750 0.137 0.822
As 0.750 0.363 0.822
As 0.750 0.471 0.350



Material: P11Pd3
Method: DFT, PBE
State: optimized geometry

Calculated values
SG	Cm (8)
E_tot	-5.4994	eV per atom

Lattice parameters (Å, degrees): 7.264 7.264 6.188 111.96 111.96 62.31
Fractional positions:
P 0.000 0.000 0.000
P 0.021 0.488 0.999
P 0.168 0.470 0.381
P 0.274 0.755 0.503
P 0.284 0.284 0.822
P 0.309 0.810 0.901
P 0.470 0.168 0.381
P 0.488 0.021 0.999
P 0.611 0.611 0.481
P 0.755 0.274 0.503
P 0.810 0.309 0.901
Pd 0.120 0.120 0.423
Pd 0.499 0.499 0.038
Pd 0.792 0.792 0.846



Material: LiCdGe
Method: DFT, PBE
State: optimized geometry

Calculated values
SG	F-43m (216)
E_tot	-2.4536	eV per atom

Lattice parameters (Å, degrees): 4.345 4.345 4.345 60.00 60.00 60.00
Fractional positions:
Li 0.000 0.000 0.000
Cd 0.750 0.750 0.750
Ge 0.250 0.250 0.250



Material: LuScPt
Method: DFT, PBE
State: optimized geometry

Calculated values
SG	F-43m (216)
spin magnetization	0.00	μB/cell
E_form	-57	kJ/mol of formula units
E_tot	-5.8317	eV per atom

Lattice parameters (Å, degrees): 4.552 4.552 4.552 60.00 60.00 60.00
Fractional positions:
Lu 0.000 0.000 0.000
Sc 0.250 0.250 0.250
Pt 0.500 0.500 0.500